AcB4Rh4 | Alexandria via LeMat-Bulk | GGA-PBE | optimized geometry; energy above the lowest structure with this stoichiometry = 0 meV per atom; energy relative to the elements = -541 meV per atom; symmetry = P4_2/n; electronic total energy = -130.19 eV per cell
1.0
7.724 0.000 0.000
0.000 7.724 0.000
0.000 0.000 4.023
Ac B Rh
2 8 8
Cartesian
1.931 1.931 1.006
5.793 5.793 3.018
0.292 7.041 0.583
0.683 4.154 2.594
3.179 7.432 2.594
3.570 4.545 0.583
4.154 3.179 3.441
4.545 0.292 1.429
7.041 3.570 1.429
7.432 0.683 3.441
0.734 4.933 0.581
1.071 6.990 2.592
2.791 4.595 2.592
3.128 6.653 0.581
4.595 1.071 3.443
4.933 3.128 1.431
6.653 0.734 1.431
6.990 2.791 3.443



SrMn2Mo | Alexandria via LeMat-Bulk | GGA-PBE | optimized geometry; energy above the lowest structure with this stoichiometry = 341 meV per atom; energy relative to the elements = 827 meV per atom; symmetry = Imm2; electronic total energy = -27.55 eV per cell
1.0
-1.498 2.604 4.959
1.498 -2.604 4.959
1.498 2.604 -4.959
Sr Mn Mo
1 2 1
Cartesian
0.000 0.000 0.000
1.498 0.000 2.957
0.000 0.000 5.170
0.000 2.604 2.047



ScSiAu2 | Alexandria via LeMat-Bulk | GGA-PBE | optimized geometry; symmetry = I4/mmm; electronic total energy = -20.08 eV per cell
1.0
-2.115 2.115 3.990
2.115 -2.115 3.990
2.115 2.115 -3.990
Sc Si Au
1 1 2
Cartesian
0.000 0.000 0.000
0.000 0.000 3.990
2.115 0.000 1.995
0.000 2.115 1.995



CsAlPb | Alexandria via LeMat-Bulk | GGA-PBE | optimized geometry; energy relative to the elements = 27 meV per atom; symmetry = Pnma; electronic total energy = -32.89 eV per cell
1.0
9.275 0.000 0.000
0.000 5.302 0.000
0.000 0.000 8.403
Cs Al Pb
4 4 4
Cartesian
0.057 1.325 1.344
4.580 3.976 5.546
4.694 1.325 2.857
9.218 3.976 7.058
1.462 3.976 3.445
3.176 1.325 7.647
6.099 3.976 0.756
7.813 1.325 4.957
1.515 1.325 5.005
3.122 3.976 0.804
6.153 1.325 7.599
7.759 3.976 3.397



SrBe2CS | Alexandria via LeMat-Bulk | GGA-PBE | optimized geometry; symmetry = P4/mmm; electronic total energy = -17.43 eV per cell
1.0
3.971 0.000 0.000
0.000 3.971 0.000
0.000 0.000 5.662
Sr Be C S
1 2 1 1
Cartesian
0.000 0.000 0.000
0.000 1.985 2.831
1.985 0.000 2.831
1.985 1.985 0.000
0.000 0.000 2.831



NiGeTe2N | Alexandria via LeMat-Bulk | GGA-PBE | optimized geometry; energy above the lowest structure with this stoichiometry = 468 meV per atom; symmetry = P4/mmm; electronic total energy = -20.40 eV per cell
1.0
5.561 0.000 0.000
0.000 5.561 0.000
0.000 0.000 3.439
Ni Ge Te N
1 1 2 1
Cartesian
0.000 0.000 0.000
2.780 2.780 1.720
0.000 2.780 1.720
2.780 0.000 1.720
2.780 2.780 0.000